Entry 1:
Material: Ag2TeRh
Method: DFT, GGA-PBE
State: optimized geometry

spin magnetization	0.00	μB per formula unit
E_form (uncorrected)	0.08	eV/atom
Fermi-level density of states	2.0	states/eV/f.u.
space-group type	Cm (8)
raw total energy	-3.967	eV/atom

Unit cell a=4.893 b=4.893 c=4.783 alpha=69.98 beta=69.98 gamma=46.01
Fractional positions:
Ag (0.004, 0.004, 0.971)
Ag (0.757, 0.757, 0.770)
Te (0.227, 0.227, 0.326)
Rh (0.512, 0.512, 0.434)

***

Entry 2:
Material: AgTeRh
Method: DFT, GGA-PBE
State: optimized geometry

spin magnetization	0.00	μB per formula unit
E_form (uncorrected)	0.03	eV/atom
Fermi-level density of states	0.6	states/eV/f.u.
offset from the most stable computed form	51	meV per atom
space-group type	P3m1 (156)
raw total energy	-4.416	eV/atom

Unit cell a=3.544 b=3.544 c=6.056 alpha=90.00 beta=90.00 gamma=120.00
Fractional positions:
Ag (0.000, 0.000, 0.039)
Te (0.333, 0.667, 0.606)
Rh (0.667, 0.333, 0.356)

***

Entry 3:
Material: Ag2TeRh
Method: DFT, GGA-PBE
State: optimized geometry

spin magnetization	0.00	μB per formula unit
E_form (uncorrected)	0.12	eV/atom
Fermi-level density of states	2.1	states/eV/f.u.
space-group type	R3m (160)
raw total energy	-3.925	eV/atom

Unit cell a=8.307 b=8.307 c=8.307 alpha=24.05 beta=24.05 gamma=24.05
Fractional positions:
Ag (0.005, 0.005, 0.005)
Ag (0.755, 0.755, 0.755)
Te (0.236, 0.236, 0.236)
Rh (0.504, 0.504, 0.504)

***

Entry 4:
Material: AgTeRh
Method: DFT, GGA-PBE
State: optimized geometry

spin magnetization	0.00	μB per formula unit
E_form (uncorrected)	-0.02	eV/atom
Fermi-level density of states	2.8	states/eV/f.u.
offset from the most stable computed form	0	meV per atom
space-group type	F-43m (216)
raw total energy	-4.467	eV/atom

Unit cell a=4.467 b=4.467 c=4.467 alpha=60.00 beta=60.00 gamma=60.00
Fractional positions:
Ag (0.500, 0.500, 0.500)
Te (0.000, 0.000, 0.000)
Rh (0.250, 0.250, 0.250)

***

Entry 5:
Material: Ag2TeRh
Method: DFT, GGA-PBE
State: optimized geometry

spin magnetization	0.00	μB per formula unit
E_form (uncorrected)	0.12	eV/atom
Fermi-level density of states	2.8	states/eV/f.u.
space-group type	I-4m2 (119)
raw total energy	-3.924	eV/atom

Unit cell a=5.031 b=5.031 c=5.031 alpha=129.59 beta=129.59 gamma=74.06
Fractional positions:
Ag (0.000, 0.000, 0.000)
Ag (0.250, 0.750, 0.500)
Te (0.750, 0.250, 0.500)
Rh (0.500, 0.500, 0.000)

***

Entry 6:
Material: Ag2TeRh
Method: DFT, GGA-PBE
State: optimized geometry

spin magnetization	0.00	μB per formula unit
E_form (uncorrected)	0.25	eV/atom
Fermi-level density of states	3.0	states/eV/f.u.
space-group type	Cmmm (65)
raw total energy	-3.803	eV/atom

Unit cell a=5.207 b=5.207 c=3.148 alpha=90.00 beta=90.00 gamma=117.11
Fractional positions:
Ag (0.500, 0.000, 0.000)
Ag (0.000, 0.500, 0.000)
Te (0.500, 0.500, 0.500)
Rh (0.000, 0.000, 0.500)

***

Entry 7:
Material: Ag2TeRh
Method: DFT, GGA-PBE
State: optimized geometry

spin magnetization	0.00	μB per formula unit
E_form (uncorrected)	0.10	eV/atom
Fermi-level density of states	1.5	states/eV/f.u.
space-group type	I4/mmm (139)
raw total energy	-3.953	eV/atom

Unit cell a=5.500 b=5.500 c=5.500 alpha=137.89 beta=137.89 gamma=61.07
Fractional positions:
Ag (0.750, 0.250, 0.500)
Ag (0.250, 0.750, 0.500)
Te (0.000, 0.000, 0.000)
Rh (0.500, 0.500, 0.000)

***

Entry 8:
Material: AgTeRh
Method: DFT, GGA-PBE
State: optimized geometry

spin magnetization	0.00	μB per formula unit
E_form (uncorrected)	-0.01	eV/atom
Fermi-level density of states	0.9	states/eV/f.u.
offset from the most stable computed form	6	meV per atom
space-group type	I4mm (107)
raw total energy	-4.461	eV/atom

Unit cell a=5.346 b=5.346 c=5.346 alpha=141.55 beta=141.55 gamma=55.51
Fractional positions:
Ag (0.005, 0.005, 0.000)
Te (0.302, 0.302, 0.000)
Rh (0.693, 0.693, 0.000)

***

Entry 9:
Material: Ag2TeRh
Method: DFT, GGA-PBE
State: optimized geometry

spin magnetization	0.00	μB per formula unit
E_form (uncorrected)	0.11	eV/atom
Fermi-level density of states	3.9	states/eV/f.u.
space-group type	P4/mmm (123)
raw total energy	-3.935	eV/atom

Unit cell a=3.984 b=3.984 c=4.669 alpha=90.00 beta=90.00 gamma=90.00
Fractional positions:
Ag (0.000, 0.500, 0.000)
Ag (0.500, 0.000, 0.000)
Te (0.000, 0.000, 0.500)
Rh (0.500, 0.500, 0.500)

***

Entry 10:
Material: Ag2TeRh
Method: DFT, GGA-PBE
State: optimized geometry

spin magnetization	0.80	μB per formula unit
E_form (uncorrected)	0.37	eV/atom
Fermi-level density of states	5.0	states/eV/f.u.
space-group type	P4/mmm (123)
raw total energy	-3.684	eV/atom

Unit cell a=3.019 b=3.019 c=8.843 alpha=90.00 beta=90.00 gamma=90.00
Fractional positions:
Ag (0.000, 0.000, 0.789)
Ag (0.000, 0.000, 0.211)
Te (0.500, 0.500, 0.500)
Rh (0.500, 0.500, 0.000)

***

Entry 11:
Material: AgTe8Rh4
Method: DFT, GGA-PBE
State: optimized geometry

spin magnetization	0.00	μB per formula unit
E_form (uncorrected)	-0.35	eV/atom
Fermi-level density of states	7.3	states/eV/f.u.
space-group type	F-43m (216)
raw total energy	-4.760	eV/atom

Unit cell a=7.968 b=7.968 c=7.968 alpha=60.00 beta=60.00 gamma=60.00
Fractional positions:
Ag (0.750, 0.750, 0.750)
Te (0.586, 0.138, 0.138)
Te (0.138, 0.586, 0.138)
Te (0.138, 0.138, 0.586)
Te (0.138, 0.138, 0.138)
Te (0.170, 0.610, 0.610)
Te (0.610, 0.170, 0.610)
Te (0.610, 0.610, 0.170)
Te (0.610, 0.610, 0.610)
Rh (0.880, 0.373, 0.373)
Rh (0.373, 0.880, 0.373)
Rh (0.373, 0.373, 0.880)
Rh (0.373, 0.373, 0.373)

***

Entry 12:
Material: AgTeRh
Method: DFT, GGA-PBE
State: optimized geometry

spin magnetization	0.00	μB per formula unit
E_form (uncorrected)	0.10	eV/atom
Fermi-level density of states	2.8	states/eV/f.u.
offset from the most stable computed form	119	meV per atom
space-group type	P-6m2 (187)
raw total energy	-4.347	eV/atom

Unit cell a=4.508 b=4.508 c=3.345 alpha=90.00 beta=90.00 gamma=120.00
Fractional positions:
Ag (0.000, 0.000, 0.000)
Te (0.667, 0.333, 0.500)
Rh (0.333, 0.667, 0.500)